Computed, not measured: a geometry-optimized Na2HoMnTe4 structure at the GGA-PBE level of DFT.

Summary:
Formation energy from raw total energies in eV per atom: -0.84
Total magnetization in μB per formula unit: 4.0
V in Å³/cell: 238

a b c (Å): 7.3366 4.2741 7.9718
angles (deg): 90.00 107.92 90.00
Space group P2/m (No. 10)
Symmetry-distinct sites (fractional):
1 Na 0.0000 0.0000 0.0000 x1
2 Na 0.5000 0.5000 0.0000 x1
3 Ho 0.0000 0.5000 0.5000 x1
4 Mn 0.5000 0.0000 0.5000 x1
5 Te 0.2607 0.0000 0.7233 x2
6 Te 0.2789 0.5000 0.2860 x2



Computed, not measured: a geometry-optimized OsRhSe4 structure at the GGA-PBE level of DFT.

Summary:
Formation energy from raw total energies in eV per atom: 1.52
Total magnetization in μB per formula unit: 3.8
Relative energy among the computed polymorphs in meV per atom: 1813.3
V in Å³/cell: 461

a b c (Å): 7.7233 7.7233 7.7233
angles (deg): 90.00 90.00 90.00
Space group F-43m (No. 216)
Symmetry-distinct sites (fractional):
1 Os 0.0000 0.0000 0.0000 x4
2 Rh 0.2500 0.2500 0.7500 x4
3 Se 0.1251 0.1251 0.3749 x16



Computed, not measured: a geometry-optimized Sm4Ru2Pb structure at the GGA-PBE level of DFT.

Summary:
Energy of formation from the pure elements in eV/atom: -0.3255
Total magnetization in μB per formula unit: 0.0
V in Å³/cell: 364

a b c (Å): 6.1577 7.9830 8.6496
angles (deg): 116.57 100.93 96.56
Space group P1 (No. 1)
Symmetry-distinct sites (fractional):
1 Sm 0.0000 0.0000 0.0000 x1
2 Sm 0.0764 0.9169 0.3920 x1
3 Sm 0.2925 0.3515 0.8274 x1
4 Sm 0.3747 0.7831 0.7728 x1
5 Sm 0.4941 0.5903 0.3042 x1
6 Sm 0.5772 0.0732 0.2627 x1
7 Sm 0.7974 0.5063 0.7166 x1
8 Sm 0.8972 0.4355 0.1032 x1
9 Ru 0.2002 0.7107 0.0579 x1
10 Ru 0.4850 0.1761 0.9973 x1
11 Ru 0.6863 0.7173 0.0539 x1
12 Ru 0.9168 0.7132 0.5539 x1
13 Pb 0.1302 0.3587 0.4338 x1
14 Pb 0.7076 0.0587 0.6703 x1



Computed, not measured: a geometry-optimized HfIn2Pd structure at the GGA-PBE level of DFT.

Summary:
Energy of formation from the pure elements in eV/atom: -0.0609
Total magnetization in μB per formula unit: 0.0
Relative energy among the computed polymorphs in meV per atom: 287.4
V in Å³/cell: 350

a b c (Å): 7.7362 7.7362 5.8466
angles (deg): 90.00 90.00 90.00
Space group I-42d (No. 122)
Symmetry-distinct sites (fractional):
1 Hf 0.0000 0.0000 0.0000 x4
2 In 0.2190 0.2500 0.6250 x8
3 Pd 0.0000 0.0000 0.5000 x4